(1)
VASP calculation (PBE) on a geometry-optimized Ac3Sn6HgPd2 structure.

Energy relative to the elements = -3.81 eV per formula unit

CIF file:
```
data_Ac3Sn6HgPd2
_space_group_name_H-M_alt 'P -3 m 1'
_space_group_IT_number 164
_space_group_name_Hall '-P 3 2"'
_cell_length_a 6.4685
_cell_length_b 6.4685
_cell_length_c 10.0765
_cell_angle_alpha 90.00
_cell_angle_beta 90.00
_cell_angle_gamma 120.00
loop_
_atom_site_label
_atom_site_fract_x
_atom_site_fract_y
_atom_site_fract_z
Ac1 0.0000 0.0000 0.0000
Ac2 0.3333 0.6667 0.5868
Sn1 0.1766 0.3531 0.2685
Hg1 0.0000 0.0000 0.5000
Pd1 0.3333 0.6667 0.0547
```

***

(2)
VASP calculation (PBE) on a geometry-optimized KLiLa2 structure.

Energy relative to the elements = 1.22 eV per formula unit

CIF file:
```
data_KLiLa2
_space_group_name_H-M_alt 'P m m m'
_space_group_IT_number 47
_cell_length_a 3.760
_cell_length_b 6.021
_cell_length_c 6.691
_cell_angle_alpha 90.00
_cell_angle_beta 90.00
_cell_angle_gamma 90.00
loop_
_space_group_symop_operation_xyz
'x,y,z'
'-x,-y,-z'
'-x,-y,z'
'x,y,-z'
'x,-y,-z'
'-x,y,z'
'-x,y,-z'
'x,-y,z'
loop_
_atom_site_label
_atom_site_fract_x
_atom_site_fract_y
_atom_site_fract_z
K1 0.000 0.000 0.000
Li1 0.500 0.500 0.000
La1 0.000 0.500 0.500
La2 0.500 0.000 0.500
```